[1]
A plane-wave DFT calculation with PBE was carried out for a relaxed structure of LaBeN2O.

abc: 3.5128 3.5128 4.3478
angles: 90.00 90.00 90.00
Last column: nearest neighbours and their distance in Å.
Fractional positions:
N 0.5000 0.0000 0.0000  2 Be 1.76
N 0.0000 0.5000 0.0000  2 Be 1.76
La 0.5000 0.5000 0.5000  4 O 2.48
Be 0.0000 0.0000 0.0000  4 N 1.76
O 0.0000 0.0000 0.5000  2 Be 2.17

Computed properties:
Formation energy without anion corrections, eV/atom: -0.79
Calculated volume, Å³ per cell: 53.7
Total magnetic moment, μB/cell: 0.00
Theoretical density, kg/m³: 5940

=====

[2]
A plane-wave DFT calculation with PBE was carried out for a relaxed structure of LaBeN2O.

abc: 4.3621 4.3621 4.3341
angles: 90.00 90.00 90.00
Last column: nearest neighbours and their distance in Å.
Fractional positions:
N 0.0000 0.5000 0.0000  2 La 2.18
N 0.5000 0.0000 0.0000  2 La 2.18
La 0.0000 0.0000 0.0000  2 O 2.17, 4 N 2.18
O 0.0000 0.0000 0.5000  2 La 2.17
Be 0.5000 0.5000 0.5000  8 N 3.07, 4 O 3.08

Computed properties:
Formation energy without anion corrections, eV/atom: 1.07
Calculated volume, Å³ per cell: 82.5
Total magnetic moment, μB/cell: 0.23
Theoretical density, kg/m³: 3865

=====

[3]
A plane-wave DFT calculation with PBE was carried out for a relaxed structure of LaBeNO2.

abc: 4.3650 4.3650 4.5047
angles: 90.00 90.00 90.00
Last column: nearest neighbours and their distance in Å.
Fractional positions:
La 0.0000 0.0000 0.0000  4 O 2.18, 2 N 2.25
N 0.0000 0.0000 0.5000  2 La 2.25
Be 0.5000 0.5000 0.5000  4 N 3.09, 8 O 3.14
O 0.5000 0.0000 0.0000  2 La 2.18
O 0.0000 0.5000 0.0000  2 La 2.18

Computed properties:
Formation energy without anion corrections, eV/atom: 0.22
Calculated volume, Å³ per cell: 85.8
Total magnetic moment, μB/cell: 0.41
Theoretical density, kg/m³: 3752

=====

[4]
A plane-wave DFT calculation with PBE was carried out for a relaxed structure of La2BeOsN.

abc: 5.2533 5.2533 3.3388
angles: 90.00 90.00 90.00
Last column: nearest neighbours and their distance in Å.
Fractional positions:
La 0.0000 0.5000 0.0000  2 N 2.63
N 0.0000 0.0000 0.0000  2 Be 1.67
Be 0.0000 0.0000 0.5000  2 N 1.67
La 0.5000 0.0000 0.0000  2 N 2.63
Os 0.5000 0.5000 0.5000  8 La 3.11, 2 Os 3.34

Computed properties:
Formation energy without anion corrections, eV/atom: -0.42
Calculated volume, Å³ per cell: 92.1
Total magnetic moment, μB/cell: 0.00
Theoretical density, kg/m³: 8850

=====

[5]
A plane-wave DFT calculation with PBE was carried out for a relaxed structure of La3BeP2N6.

abc: 5.4859 5.4859 6.3060
angles: 90.00 90.00 120.00
Last column: nearest neighbours and their distance in Å.
Fractional positions:
Be 0.0000 0.0000 0.5000  6 N 2.04
N 0.8287 0.6574 0.6947  1 P 1.66
La 0.3333 0.6667 0.6541  9 N 2.69-2.76, 1 P 2.83
N 0.8287 0.1713 0.6947  1 P 1.66
N 0.3426 0.1713 0.6947  1 P 1.66
N 0.1713 0.3426 0.3053  1 P 1.66
La 0.0000 0.0000 0.0000  6 N 2.52
P 0.6667 0.3333 0.7946  3 N 1.66
N 0.1713 0.8287 0.3053  1 P 1.66
P 0.3333 0.6667 0.2054  3 N 1.66
N 0.6574 0.8287 0.3053  1 P 1.66
La 0.6667 0.3333 0.3459  9 N 2.69-2.76, 1 P 2.83

Computed properties:
Formation energy without anion corrections, eV/atom: -0.97
Calculated volume, Å³ per cell: 164.4
Total magnetic moment, μB/cell: 0.00
Theoretical density, kg/m³: 5776

=====

[6]
A plane-wave DFT calculation with PBE was carried out for a relaxed structure of LaPa2BeN4.

abc: 3.5560 6.0975 11.1071
angles: 90.00 90.00 106.95
Last column: nearest neighbours and their distance in Å.
Fractional positions:
Pa 0.6300 0.2600 0.0528  6 N 2.26-2.43
N 0.5833 0.1667 0.2500  2 Be 2.12, 2 Pa 2.26
Pa 0.3700 0.7400 0.9472  6 N 2.26-2.43
N 0.7446 0.4892 0.6215  1 Be 1.67
Be 0.8182 0.6365 0.7500  2 N 1.67
N 0.2554 0.5108 0.3785  1 Be 1.67
Pa 0.3700 0.7400 0.5528  6 N 2.26-2.43
Be 0.1818 0.3635 0.2500  2 N 1.67
N 0.2554 0.5108 0.1215  1 Be 1.67
N 0.7446 0.4892 0.8785  1 Be 1.67
La 0.0939 0.1877 0.7500  8 N 2.73-2.98
N 0.0000 0.0000 0.5000  4 Pa 2.41
N 0.4167 0.8333 0.7500  2 Be 2.12, 2 Pa 2.26
La 0.9061 0.8123 0.2500  8 N 2.73-2.98
N 0.0000 0.0000 0.0000  4 Pa 2.41
Pa 0.6300 0.2600 0.4472  6 N 2.26-2.43

Computed properties:
Formation energy without anion corrections, eV/atom: -1.40
Calculated volume, Å³ per cell: 230.4
Total magnetic moment, μB/cell: 0.00
Theoretical density, kg/m³: 9602

=====

[7]
A plane-wave DFT calculation with PBE was carried out for a relaxed structure of La4Pa3BeN8.

abc: 7.0377 7.2210 7.0421
angles: 119.16 119.98 90.00
Last column: nearest neighbours and their distance in Å.
Fractional positions:
N 0.2405 0.7069 0.4810  2 Pa 2.35, 1 Be 2.43
Be 0.0000 0.5000 0.0000  6 N 2.42-2.43
N 0.7345 0.7037 0.4691  3 Pa 2.37
Pa 0.0000 0.5000 0.5000  6 N 2.35-2.37
La 0.0000 0.0000 0.5000  6 N 2.69-2.71
La 0.5000 0.0000 0.0000  6 N 2.64-2.65
Pa 0.5000 0.5000 0.5000  6 N 2.35-2.37
N 0.7269 0.7061 0.9664  2 Pa 2.35-2.36, 1 Be 2.42
N 0.2396 0.7061 0.9664  2 Pa 2.35-2.36, 1 Be 2.42
La 0.0000 0.0000 0.0000  6 N 2.70
N 0.7604 0.2939 0.0336  2 Pa 2.35-2.36, 1 Be 2.42
Pa 0.5000 0.5000 0.0000  6 N 2.35-2.37
N 0.2731 0.2939 0.0336  2 Pa 2.35-2.36, 1 Be 2.42
N 0.7595 0.2931 0.5190  2 Pa 2.35, 1 Be 2.43
La 0.5000 0.0000 0.5000  6 N 2.69-2.71
N 0.2655 0.2963 0.5309  3 Pa 2.37

Computed properties:
Formation energy without anion corrections, eV/atom: -1.24
Calculated volume, Å³ per cell: 256.3
Total magnetic moment, μB/cell: 0.00
Theoretical density, kg/m³: 8875

=====

[8]
A plane-wave DFT calculation with PBE was carried out for a relaxed structure of LaPaBeN3.

abc: 3.4291 7.3535 7.0386
angles: 101.04 90.00 90.00
Last column: nearest neighbours and their distance in Å.
Fractional positions:
N 0.7500 0.4243 0.1360  3 Pa 2.25-2.40
N 0.7500 0.8740 0.1551  1 Be 1.71
N 0.2500 0.1260 0.8449  1 Be 1.71
N 0.2500 0.5757 0.8640  3 Pa 2.25-2.40
Pa 0.7500 0.3421 0.8114  6 N 2.25-2.40
N 0.2500 0.8471 0.4865  1 Be 1.68
Be 0.2500 0.0712 0.5980  2 N 1.68-1.71
Pa 0.2500 0.6579 0.1886  6 N 2.25-2.40
La 0.2500 0.1717 0.2117  7 N 2.54-2.75
Be 0.7500 0.9288 0.4020  2 N 1.68-1.71
La 0.7500 0.8283 0.7883  7 N 2.54-2.75
N 0.7500 0.1529 0.5135  1 Be 1.68

Computed properties:
Formation energy without anion corrections, eV/atom: -1.38
Calculated volume, Å³ per cell: 174.2
Total magnetic moment, μB/cell: 0.00
Theoretical density, kg/m³: 8026

=====

[9]
A plane-wave DFT calculation with PBE was carried out for a relaxed structure of La2BePbN.

abc: 5.6679 5.6679 3.4011
angles: 90.00 90.00 90.00
Last column: nearest neighbours and their distance in Å.
Fractional positions:
La 0.5000 0.0000 0.0000  2 N 2.83
Pb 0.5000 0.5000 0.5000  8 La 3.31, 2 Pb 3.40
N 0.0000 0.0000 0.0000  2 Be 1.70
La 0.0000 0.5000 0.0000  2 N 2.83
Be 0.0000 0.0000 0.5000  2 N 1.70

Computed properties:
Formation energy without anion corrections, eV/atom: -0.63
Calculated volume, Å³ per cell: 109.3
Total magnetic moment, μB/cell: 0.00
Theoretical density, kg/m³: 7721

=====

[10]
A plane-wave DFT calculation with PBE was carried out for a relaxed structure of LaBePdN.

abc: 3.9114 3.9114 8.0496
angles: 90.00 90.00 90.00
Last column: nearest neighbours and their distance in Å.
Fractional positions:
Pd 0.5000 0.5000 0.5000  4 Be 2.34
La 0.0000 0.5000 0.8394  1 N 2.42
La 0.5000 0.0000 0.1606  1 N 2.42
Be 0.0000 0.5000 0.3399  1 N 1.61
Be 0.5000 0.0000 0.6601  1 N 1.61
Pd 0.0000 0.0000 0.5000  4 Be 2.34
N 0.0000 0.5000 0.1403  1 Be 1.61
N 0.5000 0.0000 0.8597  1 Be 1.61

Computed properties:
Formation energy without anion corrections, eV/atom: -1.05
Calculated volume, Å³ per cell: 123.2
Total magnetic moment, μB/cell: 0.00
Theoretical density, kg/m³: 7237

=====

[11]
A plane-wave DFT calculation with PBE was carried out for a relaxed structure of LaBe2Pt2N.

abc: 3.9250 3.9250 6.2868
angles: 108.19 108.19 90.00
Last column: nearest neighbours and their distance in Å.
Fractional positions:
Pt 0.7500 0.2500 0.5000  4 Be 2.32
Be 0.8592 0.8592 0.7185  1 N 1.59
La 0.5000 0.5000 0.0000  4 N 2.78
Be 0.1408 0.1408 0.2815  1 N 1.59
N 0.0000 0.0000 0.0000  2 Be 1.59
Pt 0.2500 0.7500 0.5000  4 Be 2.32

Computed properties:
Formation energy without anion corrections, eV/atom: -1.09
Calculated volume, Å³ per cell: 86.9
Total magnetic moment, μB/cell: 0.00
Theoretical density, kg/m³: 10722

=====

[12]
A plane-wave DFT calculation with PBE was carried out for a relaxed structure of LaBePtN.

abc: 3.9107 3.9107 8.0533
angles: 90.00 90.00 90.00
Last column: nearest neighbours and their distance in Å.
Fractional positions:
La 0.5000 0.0000 0.1613  1 N 2.42
Be 0.0000 0.5000 0.3409  1 N 1.63
N 0.5000 0.0000 0.8610  1 Be 1.63
Pt 0.0000 0.0000 0.5000  4 Be 2.34
Be 0.5000 0.0000 0.6591  1 N 1.63
La 0.0000 0.5000 0.8387  1 N 2.42
Pt 0.5000 0.5000 0.5000  4 Be 2.34
N 0.0000 0.5000 0.1390  1 Be 1.63

Computed properties:
Formation energy without anion corrections, eV/atom: -1.19
Calculated volume, Å³ per cell: 123.2
Total magnetic moment, μB/cell: 0.00
Theoretical density, kg/m³: 9627